1.
This record from the Alexandria database describes crystalline NaInS2 at its relaxed geometry. The functional is PBE.

Lattice parameters (Å, degrees): 7.2516 4.0260 13.1003 90.00 90.00 90.00
Space group Pnma (No. 62)
Asymmetric unit:
Na 0.1309 0.2500 0.1505 [4 per cell]
In 0.0871 0.7500 0.3847 [4 per cell]
S 0.0974 0.2500 0.7714 [4 per cell]
S 0.2089 0.2500 0.4834 [4 per cell]

Density   3.51 g cm⁻³
E_tot   -61.4 eV per cell

=====

2.
This record from the Alexandria database describes crystalline Tc5Rh at its relaxed geometry. The functional is PBE.

Lattice parameters (Å, degrees): 4.3819 2.7562 14.3601 90.00 90.00 90.00
Space group Amm2 (No. 38)
Asymmetric unit:
Tc 0.0000 0.0000 0.0000 [2 per cell]
Tc 0.0000 0.0000 0.3317 [2 per cell]
Tc 0.0000 0.0000 0.6663 [2 per cell]
Tc 0.5000 0.0000 0.2228 [2 per cell]
Tc 0.5000 0.0000 0.8897 [2 per cell]
Rh 0.5000 0.0000 0.5538 [2 per cell]

Formation enthalpy at 0 K   -0.06 eV/atom
Density   11.35 g cm⁻³
Energy relative to the lowest polymorph listed for this composition   6 kJ/mol of formula units

=====

3.
This record from the Alexandria database describes crystalline CdFePt2 at its relaxed geometry. The functional is PBE.

Lattice parameters (Å, degrees): 3.9373 3.9373 18.1376 90.00 90.00 90.00
Space group I-42d (No. 122)
Asymmetric unit:
Cd 0.0000 0.0000 0.0000 [4 per cell]
Fe 0.0000 0.0000 0.5000 [4 per cell]
Pt 0.2356 0.2500 0.6250 [8 per cell]

Formation enthalpy at 0 K   0.23 eV/atom
Density   13.19 g cm⁻³

=====

4.
This record from the Alexandria database describes crystalline PuBe4Fe at its relaxed geometry. The functional is PBE.

Lattice parameters (Å, degrees): 6.4872 6.4872 6.4872 90.00 90.00 90.00
Space group F-43m (No. 216)
Asymmetric unit:
Pu 0.0000 0.0000 0.0000 [4 per cell]
Be 0.1219 0.1219 0.3781 [16 per cell]
Fe 0.2500 0.2500 0.7500 [4 per cell]

Formation enthalpy at 0 K   0.09 eV/atom
Density   8.17 g cm⁻³

=====

5.
This record from the Alexandria database describes crystalline YBeW2 at its relaxed geometry. The functional is PBE.

Lattice parameters (Å, degrees): 2.7931 2.7931 8.5011 90.00 90.00 90.00
Space group P4/mmm (No. 123)
Asymmetric unit:
Y 0.0000 0.0000 0.0000 [1 per cell]
Be 0.0000 0.0000 0.5000 [1 per cell]
W 0.5000 0.5000 0.3065 [2 per cell]

Formation enthalpy at 0 K   0.49 eV/atom
Density   11.66 g cm⁻³

=====

6.
This record from the Alexandria database describes crystalline Na2Tl3Pb5 at its relaxed geometry. The functional is PBE.

Lattice parameters (Å, degrees): 12.5075 15.5275 6.4539 90.00 90.52 90.00
Space group C2/c (No. 15)
Asymmetric unit:
Na 0.1275 0.2490 0.3692 [8 per cell]
Tl 0.0000 0.4500 0.2500 [4 per cell]
Tl 0.1254 0.1511 0.8816 [8 per cell]
Pb 0.0000 0.0390 0.2500 [4 per cell]
Pb 0.1228 0.3574 0.8544 [8 per cell]
Pb 0.2454 0.0387 0.5118 [8 per cell]

Formation enthalpy at 0 K   -0.03 eV/atom
Density   8.98 g cm⁻³

=====

7.
This record from the Alexandria database describes crystalline Mo4Ru3 at its relaxed geometry. The functional is PBE.

Lattice parameters (Å, degrees): 5.0778 5.0778 4.8167 90.00 90.00 120.00
Space group P6/mmm (No. 191)
Asymmetric unit:
Mo 0.0000 0.0000 0.2416 [2 per cell]
Mo 0.3333 0.6667 0.0000 [2 per cell]
Ru 0.0000 0.5000 0.5000 [3 per cell]

Formation enthalpy at 0 K   0.11 eV/atom
Density   10.61 g cm⁻³
Energy relative to the lowest polymorph listed for this composition   0 kJ/mol of formula units

=====

8.
This record from the Alexandria database describes crystalline LaSnH2 at its relaxed geometry. The functional is PBE.

Lattice parameters (Å, degrees): 4.4412 4.3614 4.4524 90.00 118.71 90.00
Space group Pm (No. 6)
Asymmetric unit:
La 0.0000 0.0000 0.0000 [1 per cell]
Sn 0.3780 0.5000 0.6523 [1 per cell]
H 0.0735 0.5000 0.8363 [1 per cell]
H 0.9326 0.5000 0.2178 [1 per cell]

Density   5.70 g cm⁻³
E_tot   -16.6 eV per cell

=====

9.
This record from the Alexandria database describes crystalline Ti4Pb2N at its relaxed geometry. The functional is PBE.

Lattice parameters (Å, degrees): 4.1614 4.1614 14.5478 90.00 90.00 90.00
Space group I4/mmm (No. 139)
Asymmetric unit:
Ti 0.0000 0.0000 0.1426 [4 per cell]
Ti 0.0000 0.5000 0.0000 [4 per cell]
Pb 0.0000 0.0000 0.3462 [4 per cell]
N 0.0000 0.0000 0.0000 [2 per cell]

Density   8.17 g cm⁻³
Energy relative to the lowest polymorph listed for this composition   0 kJ/mol of formula units

=====

10.
This record from the Alexandria database describes crystalline SrYTe2 at its relaxed geometry. The functional is PBE.

Lattice parameters (Å, degrees): 7.7768 4.4892 7.9776 90.00 108.85 90.00
Space group C2/m (No. 12)
Asymmetric unit:
Sr 0.0000 0.0000 0.0000 [2 per cell]
Y 0.0000 0.5000 0.5000 [2 per cell]
Te 0.2437 0.0000 0.7316 [4 per cell]

Density   5.44 g cm⁻³
Energy relative to the lowest polymorph listed for this composition   0 kJ/mol of formula units

=====

11.
This record from the Alexandria database describes crystalline AcDyYSn at its relaxed geometry. The functional is PBE.

Lattice parameters (Å, degrees): 7.8592 7.8592 7.8592 90.00 90.00 90.00
Space group F-43m (No. 216)
Asymmetric unit:
Ac 0.0000 0.0000 0.0000 [4 per cell]
Dy 0.2500 0.2500 0.7500 [4 per cell]
Y 0.2500 0.2500 0.2500 [4 per cell]
Sn 0.0000 0.0000 0.5000 [4 per cell]

Formation enthalpy at 0 K   -0.17 eV/atom
Density   8.17 g cm⁻³

=====

12.
This record from the Alexandria database describes crystalline Zn4CdW at its relaxed geometry. The functional is PBE.

Lattice parameters (Å, degrees): 7.1981 7.1981 7.1981 90.00 90.00 90.00
Space group F-43m (No. 216)
Asymmetric unit:
Zn 0.1236 0.1236 0.3764 [16 per cell]
Cd 0.0000 0.0000 0.0000 [4 per cell]
W 0.2500 0.2500 0.7500 [4 per cell]

Formation enthalpy at 0 K   0.41 eV/atom
Density   9.94 g cm⁻³

=====

13.
This record from the Alexandria database describes crystalline VNiI2N at its relaxed geometry. The functional is PBE.

Lattice parameters (Å, degrees): 5.4378 5.4378 3.6357 90.00 90.00 90.00
Space group P4/mmm (No. 123)
Asymmetric unit:
V 0.0000 0.0000 0.0000 [1 per cell]
Ni 0.5000 0.5000 0.5000 [1 per cell]
I 0.0000 0.5000 0.0000 [2 per cell]
N 0.0000 0.0000 0.5000 [1 per cell]

Density   5.83 g cm⁻³
Energy relative to the lowest polymorph listed for this composition   0 kJ/mol of formula units

=====

14.
This record from the Alexandria database describes crystalline NiMo4N at its relaxed geometry. The functional is PBE.

Lattice parameters (Å, degrees): 6.9835 11.2983 5.3726 90.00 127.47 90.00
Space group C2/c (No. 15)
Asymmetric unit:
Ni 0.0000 0.1429 0.2500 [4 per cell]
Mo 0.1647 0.2919 0.7133 [8 per cell]
Mo 0.2372 0.0415 0.7661 [8 per cell]
N 0.0000 0.4446 0.7500 [4 per cell]

Density   9.01 g cm⁻³
E_tot   -225.5 eV per cell